Here is a relaxed SrMn2ZnO4 crystal from the Alexandria database. Energies are from PBE+U.

Structure (POSCAR):
```
SrMn2ZnO4
1.0
-2.731 2.731 3.837
2.731 -2.731 3.837
2.731 2.731 -3.837
Sr Mn Zn O
1 2 1 4
direct
0.000 0.000 0.000
0.250 0.750 0.500
0.750 0.250 0.500
0.500 0.500 0.000
0.138 0.571 0.000
0.429 0.429 0.567
0.571 0.138 0.000
0.862 0.862 0.433
```

## Properties
Electronic total energy, eV per cell: -52.0
Size of the total moment, Bohr magnetons per cell: 10.00